1.
# HfTiW3 (meta-GGA SCAN, PBEsol geometry)
data_HfTiW3
_space_group_name_H-M_alt 'P m -3 m'
_space_group_IT_number 221
_space_group_name_Hall '-P 4 2 3'
_cell_length_a 4.695
_cell_length_b 4.695
_cell_length_c 4.695
_cell_angle_alpha 90.00
_cell_angle_beta 90.00
_cell_angle_gamma 90.00
loop_
_atom_site_label
_atom_site_type_symbol
_atom_site_fract_x
_atom_site_fract_y
_atom_site_fract_z
Hf1 Hf 0.000 0.000 0.000
Ti1 Ti 0.500 0.500 0.500
W1 W 0.000 0.000 0.500
# - energy of formation from the pure elements (meV/atom) = 2375

=====

2.
# Zr2AlCu3 (meta-GGA SCAN, PBEsol geometry)
data_Zr2AlCu3
_space_group_name_H-M_alt 'P 63/m m c'
_space_group_IT_number 194
_space_group_name_Hall '-P 6c 2c'
_cell_length_a 5.1388
_cell_length_b 5.1388
_cell_length_c 8.0169
_cell_angle_alpha 90.00
_cell_angle_beta 90.00
_cell_angle_gamma 120.00
loop_
_atom_site_label
_atom_site_type_symbol
_atom_site_fract_x
_atom_site_fract_y
_atom_site_fract_z
Zr1 Zr 0.3333 0.6667 0.0461
Al1 Al 0.0000 0.0000 0.0000
Cu1 Cu 0.1705 0.3409 0.7500
# - energy of formation from the pure elements (meV/atom) = -332

=====

3.
# SnGePBr2 (meta-GGA SCAN, PBEsol geometry)
data_SnGePBr2
_space_group_name_H-M_alt 'P 4/m m m'
_space_group_IT_number 123
_space_group_name_Hall '-P 4 2'
_cell_length_a 5.144
_cell_length_b 5.144
_cell_length_c 4.855
_cell_angle_alpha 90.00
_cell_angle_beta 90.00
_cell_angle_gamma 90.00
loop_
_atom_site_label
_atom_site_type_symbol
_atom_site_fract_x
_atom_site_fract_y
_atom_site_fract_z
Sn1 Sn 0.000 0.000 0.000
Ge1 Ge 0.500 0.500 0.500
P1 P 0.500 0.500 0.000
Br1 Br 0.000 0.500 0.500
# - uncorrected formation energy (meV/atom) = 282

=====

4.
# Cs2CrO4 (meta-GGA SCAN, PBEsol geometry)
data_Cs2CrO4
_space_group_name_H-M_alt 'P n m a'
_space_group_IT_number 62
_space_group_name_Hall '-P 2ac 2n'
_cell_length_a 8.356
_cell_length_b 6.220
_cell_length_c 11.102
_cell_angle_alpha 90.00
_cell_angle_beta 90.00
_cell_angle_gamma 90.00
loop_
_atom_site_label
_atom_site_type_symbol
_atom_site_fract_x
_atom_site_fract_y
_atom_site_fract_z
Cs1 Cs 0.015 0.250 0.195
Cs2 Cs 0.168 0.750 0.412
Cr1 Cr 0.234 0.750 0.080
O1 O 0.037 0.750 0.086
O2 O 0.196 0.032 0.646
O3 O 0.207 0.250 0.437
# - uncorrected formation energy (meV/atom) = -2204

=====

5.
# MgOs2W (meta-GGA SCAN, PBEsol geometry)
data_MgOs2W
_space_group_name_H-M_alt 'P 4/m m m'
_space_group_IT_number 123
_space_group_name_Hall '-P 4 2'
_cell_length_a 3.086
_cell_length_b 3.086
_cell_length_c 6.257
_cell_angle_alpha 90.00
_cell_angle_beta 90.00
_cell_angle_gamma 90.00
loop_
_atom_site_label
_atom_site_type_symbol
_atom_site_fract_x
_atom_site_fract_y
_atom_site_fract_z
Mg1 Mg 0.000 0.000 0.000
Os1 Os 0.500 0.500 0.260
W1 W 0.000 0.000 0.500
# - energy of formation from the pure elements (meV/atom) = -66

=====

6.
# As2Se (meta-GGA SCAN, PBEsol geometry)
data_As2Se
_space_group_name_H-M_alt 'I m m a'
_space_group_IT_number 74
_space_group_name_Hall '-I 2b 2'
_cell_length_a 3.399
_cell_length_b 3.599
_cell_length_c 21.495
_cell_angle_alpha 90.00
_cell_angle_beta 90.00
_cell_angle_gamma 90.00
loop_
_atom_site_label
_atom_site_type_symbol
_atom_site_fract_x
_atom_site_fract_y
_atom_site_fract_z
As1 As 0.000 0.250 0.038
As2 As 0.000 0.250 0.196
Se1 Se 0.000 0.250 0.652
# - E above lowest polymorph (eV/f.u.) = 0.46
# - uncorrected formation energy (meV/atom) = 240

=====

7.
# KMo2Au (meta-GGA SCAN, PBEsol geometry)
data_KMo2Au
_space_group_name_H-M_alt 'F m -3 m'
_space_group_IT_number 225
_space_group_name_Hall '-F 4 2 3'
_cell_length_a 6.510
_cell_length_b 6.510
_cell_length_c 6.510
_cell_angle_alpha 90.00
_cell_angle_beta 90.00
_cell_angle_gamma 90.00
loop_
_atom_site_label
_atom_site_type_symbol
_atom_site_fract_x
_atom_site_fract_y
_atom_site_fract_z
K1 K 0.000 0.000 0.000
Mo1 Mo 0.250 0.250 0.250
Au1 Au 0.000 0.000 0.500
# - E above lowest polymorph (eV/f.u.) = 3.91
# - energy of formation from the pure elements (meV/atom) = 1610

=====

8.
# Pd3N (meta-GGA SCAN, PBEsol geometry)
data_Pd3N
_space_group_name_H-M_alt 'P 63 2 2'
_space_group_IT_number 182
_space_group_name_Hall 'P 6c 2c'
_cell_length_a 5.0321
_cell_length_b 5.0321
_cell_length_c 4.7154
_cell_angle_alpha 90.00
_cell_angle_beta 90.00
_cell_angle_gamma 120.00
loop_
_atom_site_label
_atom_site_type_symbol
_atom_site_fract_x
_atom_site_fract_y
_atom_site_fract_z
Pd1 Pd 0.0000 0.3309 0.0000
N1 N 0.3333 0.6667 0.2500
# - uncorrected formation energy (meV/atom) = 282